(1)
# Pm2Nd4DyY2

Crystalline Pm2Nd4DyY2 at its relaxed geometry (PBE-GGA, the Alexandria database).

a = 15.4582 Å, b = 5.1487 Å, c = 8.1114 Å
α = 90.00°, β = 108.57°, γ = 90.00°
Last column: nearest neighbours and their distance in Å.
Space group C2/m (No. 12)
One atom of each set of equivalent atoms:
Pm 0.1110 0.0000 0.1682 (multiplicity 4)  3 Y 3.62-3.63, 1 Dy 3.62, 7 Nd 3.64-3.65, 1 Pm 3.64
Nd 0.0551 0.5000 0.8317 (multiplicity 4)  2 Y 3.62-3.63, 2 Dy 3.62, 4 Pm 3.64-3.65, 4 Nd 3.64-3.65
Nd 0.2219 0.0000 0.8322 (multiplicity 4)  1 Dy 3.63, 3 Y 3.63, 5 Nd 3.64-3.65, 3 Pm 3.65
Dy 0.0000 0.0000 0.5000 (multiplicity 2)  2 Pm 3.62, 6 Nd 3.62-3.63, 4 Y 3.64
Y 0.1664 0.5000 0.4999 (multiplicity 4)  5 Nd 3.62-3.63, 3 Pm 3.62-3.63, 2 Dy 3.64, 2 Y 3.65

Results
Spin magnetization: 0.00 μB/f.u.
ΔE_f: 18 meV/atom


(2)
# Ca3Cd9Hg2

Crystalline Ca3Cd9Hg2 at its relaxed geometry (PBE-GGA, the Alexandria database).

a = 4.8478 Å, b = 10.2629 Å, c = 14.2889 Å
α = 90.00°, β = 90.00°, γ = 90.00°
Last column: nearest neighbours and their distance in Å.
Space group Immm (No. 71)
One atom of each set of equivalent atoms:
Ca 0.0000 0.0000 0.0000 (multiplicity 2)  12 Cd 3.51-3.64
Ca 0.0000 0.0000 0.3003 (multiplicity 4)  14 Cd 3.40-3.77, 2 Hg 3.44
Cd 0.0000 0.2840 0.1371 (multiplicity 8)  4 Cd 2.88-2.97, 2 Hg 3.13
Cd 0.0000 0.3638 0.3370 (multiplicity 8)  4 Cd 2.80-2.97, 1 Hg 2.95
Cd 0.0000 0.5000 0.0000 (multiplicity 2)  4 Cd 2.96, 4 Hg 3.09
Hg 0.0000 0.1869 0.5000 (multiplicity 4)  8 Cd 2.95-3.13

Results
Spin magnetization: 0.00 μB/f.u.
ΔE_f: -239 meV/atom


(3)
# Ho2Mg

Crystalline Ho2Mg at its relaxed geometry (PBE-GGA, the Alexandria database).

a = 3.6334 Å, b = 3.6334 Å, c = 12.9343 Å
α = 90.00°, β = 90.00°, γ = 90.00°
Last column: nearest neighbours and their distance in Å.
Space group I4/mmm (No. 139)
One atom of each set of equivalent atoms:
Ho 0.0000 0.0000 0.1600 (multiplicity 4)  4 Mg 3.30, 8 Ho 3.47-3.63
Mg 0.0000 0.0000 0.5000 (multiplicity 2)  8 Ho 3.30, 4 Mg 3.63

Results
Spin magnetization: 0.45 μB/f.u.
ΔE_f: -36 meV/atom


(4)
# LaSc2NbC

Crystalline LaSc2NbC at its relaxed geometry (PBE-GGA, the Alexandria database).

a = 5.1244 Å, b = 5.1244 Å, c = 4.8083 Å
α = 90.00°, β = 90.00°, γ = 90.00°
Last column: nearest neighbours and their distance in Å.
Space group P4/mmm (No. 123)
One atom of each set of equivalent atoms:
La 0.0000 0.0000 0.0000 (multiplicity 1)  2 Nb 2.40, 4 Sc 2.56
Sc 0.0000 0.5000 0.0000 (multiplicity 2)  2 La 2.56
Nb 0.0000 0.0000 0.5000 (multiplicity 1)  2 La 2.40
C 0.5000 0.5000 0.5000 (multiplicity 1)  8 Sc 3.51, 4 Nb 3.62

Results
Spin magnetization: 0.00 μB/f.u.
ΔE_f: 2442 meV/atom